1.
VASP calculation (PBE-GGA) on a relaxed Nd2HoZn2Pd5 crystal.

The value obtained for the volume is 393 Å³ per cell. As for the symmetry: P4/mbm, No. 127. The raw total energy is -0.3676 Ry/atom. The energy of formation is -0.739 eV/atom.

Unit cell a=3.8980 b=10.0403 c=10.0403 alpha=90.00 beta=90.00 gamma=90.00
Fractional positions:
Nd 0.0000 0.6769 0.1769
Nd 0.0000 0.3231 0.8231
Nd 0.0000 0.1769 0.3231
Nd 0.0000 0.8231 0.6769
Ho 0.0000 0.0000 0.0000
Ho 0.0000 0.5000 0.5000
Zn 0.0000 0.1182 0.6182
Zn 0.0000 0.8818 0.3818
Zn 0.0000 0.6182 0.8818
Zn 0.0000 0.3818 0.1182
Pd 0.5000 0.2128 0.0673
Pd 0.5000 0.7872 0.9327
Pd 0.5000 0.0673 0.7872
Pd 0.5000 0.7128 0.4327
Pd 0.5000 0.9327 0.2128
Pd 0.5000 0.2872 0.5673
Pd 0.5000 0.5673 0.7128
Pd 0.5000 0.4327 0.2872
Pd 0.5000 0.5000 0.0000
Pd 0.5000 0.0000 0.5000


2.
VASP calculation (PBE-GGA) on a relaxed NdHoZnPd crystal.

The value obtained for the volume is 93 Å³ per cell. As for the symmetry: F-43m, No. 216. The raw total energy is -0.3308 Ry/atom. The energy of formation is -0.548 eV/atom.

Unit cell a=5.0812 b=5.0812 c=5.0812 alpha=60.00 beta=60.00 gamma=60.00
Fractional positions:
Zn 0.0000 0.0000 0.0000
Nd 0.2500 0.2500 0.2500
Ho 0.7500 0.7500 0.7500
Pd 0.5000 0.5000 0.5000